[1]
DFT (PBE) results for a relaxed structure of Li2ZnSb2.

Lattice parameters (Å, degrees): 6.7336 6.7336 6.7336 142.12 142.12 54.64
Closest atoms and distances in Å follow each position.
Fractional coordinates of all 5 atoms:
Li: 0.2500 0.7500 0.5000  4 Sb 2.73
Li: 0.7500 0.2500 0.5000  4 Sb 2.73
Zn: 0.0000 0.0000 0.0000  8 Sb 3.38, 8 Li 3.70
Sb: 0.3863 0.3863 0.0000  1 Sb 2.72, 4 Li 2.73
Sb: 0.6137 0.6137 0.0000  1 Sb 2.72, 4 Li 2.73

Properties
Its space group is I4/mmm (139). The total energy comes out at -2.712 eV/atom. The excess energy over the best structure of this formula in the dataset is 267 meV/atom. The value obtained for the raw formation energy is -0.043 eV per atom. Its total magnetization is 0.00 μB/atom.

[2]
DFT (PBE) results for a relaxed structure of CaFePt2.

Lattice parameters (Å, degrees): 5.1806 5.1806 5.1806 134.91 134.91 65.68
Closest atoms and distances in Å follow each position.
Fractional coordinates of all 4 atoms:
Ca: 0.0000 0.0000 0.0000  8 Pt 2.81-2.95, 4 Fe 2.95
Fe: 0.2500 0.7500 0.5000  8 Pt 2.81-2.95, 4 Ca 2.95
Pt: 0.5000 0.5000 0.0000  4 Ca 2.81, 4 Fe 2.95, 4 Pt 2.95
Pt: 0.7500 0.2500 0.5000  4 Fe 2.81, 4 Ca 2.95, 4 Pt 2.95

Properties
Its space group is I-4m2 (119). The total energy comes out at -5.909 eV/atom. As for the formation energy: -0.2728 eV per atom. Its total magnetization is 0.90 μB/atom.

[3]
DFT (PBE) results for a relaxed structure of BeTl2P.

Lattice parameters (Å, degrees): 4.0138 4.0138 6.7478 108.30 108.30 58.67
Closest atoms and distances in Å follow each position.
Fractional coordinates of all 4 atoms:
Be: 0.0000 0.0000 0.0000  6 Tl 2.72-2.83
Tl: 0.2581 0.2581 0.7599  3 Be 2.72-2.83, 3 P 2.81-2.84
Tl: 0.7419 0.7419 0.2401  3 Be 2.72-2.83, 3 P 2.81-2.84
P: 0.5000 0.5000 0.5000  6 Tl 2.81-2.84

Properties
Its space group is C2/m (12). The total energy comes out at -2.884 eV/atom. The excess energy over the best structure of this formula in the dataset is 456 meV/atom. As for the formation energy: 0.5829 eV per atom. Its total magnetization is 0.00 μB/atom.

| no. | D(E_F) (states/eV/cell) |
| --- | --- |
| 1 | 2.07 |
| 2 | 2.61 |
| 3 | 1.87 |